No. 1
Below is a geometry-optimized ZnHgAs2Se structure, with properties calculated at the GGA-PBE level.

## Properties
- Uncorrected energy: -9.195 eV/cell
- Distance to the lowest polymorph of the same formula: 406.9 meV/atom
- Size of the total moment: 1.5 μB per cell
- Crystal system: tetragonal
- Formation energy without anion corrections: 1.033 eV per atom

Cell lengths 5.242, 5.242, 5.318 Å; angles 90.00, 90.00, 90.00 degrees
Space group P4/mmm (No. 123)
Unique sites:
Zn 0.000 0.000 0.000 (multiplicity 1)
Hg 0.500 0.500 0.500 (multiplicity 1)
As 0.000 0.500 0.500 (multiplicity 2)
Se 0.500 0.500 0.000 (multiplicity 1)

---

No. 2
Below is a geometry-optimized SiHgAs structure, with properties calculated at the GGA-PBE level.

## Properties
- Uncorrected energy: -8.882 eV/cell
- Distance to the lowest polymorph of the same formula: 377.4 meV/atom
- Size of the total moment: 0.0 μB per cell
- Crystal system: trigonal
- Formation energy without anion corrections: 0.497 eV per atom

Cell lengths 4.8538, 4.8538, 2.9615 Å; angles 90.00, 90.00, 120.00 degrees
Space group P3m1 (No. 156)
Unique sites:
Si 0.0000 0.0000 0.0000 (multiplicity 1)
Hg 0.3333 0.6667 0.4994 (multiplicity 1)
As 0.6667 0.3333 0.9978 (multiplicity 1)